VASP calculation (GGA-PBE) on a relaxed CeCd2PtAu2 crystal.

```
CeCd2PtAu2
1.0
-1.217 -3.262 2.178
3.437 -1.985 -1.053
3.391 6.223 7.345
Ce Cd Pt Au
1 2 1 2
direct
0.500 0.500 0.000
0.250 0.750 0.500
0.750 0.250 0.500
0.000 0.000 0.000
0.352 0.352 0.704
0.648 0.648 0.296
```

Results
Total energy (eV per formula unit): -20.25
Total magnetic moment (Bohr magnetons per cell): 0.72
Symmetry: I4/mmm, No. 139
V (Å³/atom): 27.5
Energy relative to the elements (kJ/mol of atoms): 1.7



VASP calculation (GGA-PBE) on a relaxed CeCdPtAu crystal.

```
CeCdPtAu
1.0
4.946 0.000 0.000
2.473 4.283 0.000
2.473 1.428 4.038
Au Ce Pt Cd
1 1 1 1
direct
0.250 0.250 0.250
0.000 0.000 0.000
0.750 0.750 0.750
0.500 0.500 0.500
```

Results
Total energy (eV per formula unit): -18.84
Total magnetic moment (Bohr magnetons per cell): 0.40
Symmetry: F-43m, No. 216
V (Å³/atom): 21.4
Energy relative to the elements (kJ/mol of atoms): -64.5



VASP calculation (GGA-PBE) on a relaxed Ce2CdRhAu crystal.

```
Ce2CdRhAu
1.0
-3.062 2.594 2.500
-4.915 -5.616 -0.191
3.881 -0.980 5.770
Ce Cd Rh Au
4 2 2 2
direct
0.750 0.861 0.660
0.750 0.716 0.025
0.250 0.139 0.340
0.250 0.284 0.975
0.250 0.692 0.347
0.750 0.308 0.653
0.250 0.900 0.917
0.750 0.100 0.083
0.250 0.533 0.689
0.750 0.467 0.311
```

Results
Total energy (eV per formula unit): -25.79
Total magnetic moment (Bohr magnetons per cell): 2.39
Symmetry: P2_1/m, No. 11
V (Å³/atom): 23.8
Energy relative to the elements (kJ/mol of atoms): -45.8



VASP calculation (GGA-PBE) on a relaxed CeCdRhAu crystal.

```
CeCdRhAu
1.0
4.894 0.000 0.000
2.447 4.239 0.000
2.447 1.413 3.996
Rh Au Ce Cd
1 1 1 1
direct
0.500 0.500 0.500
0.000 0.000 0.000
0.250 0.250 0.250
0.750 0.750 0.750
```

Results
Total energy (eV per formula unit): -19.38
Total magnetic moment (Bohr magnetons per cell): 0.38
Symmetry: F-43m, No. 216
V (Å³/atom): 20.7
Energy relative to the elements (kJ/mol of atoms): -45.9



VASP calculation (GGA-PBE) on a relaxed CeScCdAu crystal.

```
CeScCdAu
1.0
-5.102 -0.301 0.496
-2.056 -1.750 4.367
-2.468 3.220 3.147
Sc Au Ce Cd
1 1 1 1
direct
0.000 0.000 0.000
0.250 0.250 0.250
0.500 0.500 0.500
0.750 0.750 0.750
```

Results
Total energy (eV per formula unit): -17.98
Total magnetic moment (Bohr magnetons per cell): 0.82
Symmetry: F-43m, No. 216
V (Å³/atom): 23.9
Energy relative to the elements (kJ/mol of atoms): -36.7



VASP calculation (GGA-PBE) on a relaxed CeCdSiAu crystal.

```
CeCdSiAu
1.0
-3.261 2.487 2.794
-4.826 -0.085 -1.151
-3.194 -2.474 2.880
Si Au Ce Cd
1 1 1 1
direct
0.750 0.750 0.750
0.250 0.250 0.250
0.000 0.000 0.000
0.500 0.500 0.500
```

Results
Total energy (eV per formula unit): -17.02
Total magnetic moment (Bohr magnetons per cell): 0.78
Symmetry: F-43m, No. 216
V (Å³/atom): 21.6
Formation energy (no corrections) (eV/f.u.): -1.5



VASP calculation (GGA-PBE) on a relaxed CeSmCdAu crystal.

```
CeSmCdAu
1.0
-3.563 -3.755 -1.177
1.619 -4.726 -1.797
-0.437 -4.302 3.079
Au Ce Sm Cd
1 1 1 1
direct
0.250 0.250 0.250
0.000 0.000 0.000
0.500 0.500 0.500
0.750 0.750 0.750
```

Results
Total energy (eV per formula unit): -16.48
Total magnetic moment (Bohr magnetons per cell): 1.23
Symmetry: F-43m, No. 216
V (Å³/atom): 26.4
Energy relative to the elements (kJ/mol of atoms): -39.4



VASP calculation (GGA-PBE) on a relaxed CeCdSnAu crystal.

```
CeCdSnAu
1.0
5.151 0.000 0.000
2.575 4.461 0.000
2.575 1.487 4.206
Au Sn Ce Cd
1 1 1 1
direct
0.500 0.500 0.500
0.000 0.000 0.000
0.250 0.250 0.250
0.750 0.750 0.750
```

Results
Total energy (eV per formula unit): -15.92
Total magnetic moment (Bohr magnetons per cell): 0.89
Symmetry: F-43m, No. 216
V (Å³/atom): 24.2
Energy relative to the elements (kJ/mol of atoms): -43.2



VASP calculation (GGA-PBE) on a relaxed Tb2CeCdAu4 crystal.

```
Tb2CeCdAu4
1.0
-0.331 -1.033 4.971
4.079 -1.701 2.522
3.416 6.911 4.268
Tb Ce Cd Au
2 1 1 4
direct
0.759 0.759 0.722
0.241 0.241 0.278
0.000 0.000 0.000
0.500 0.500 0.500
0.369 0.369 0.894
0.880 0.880 0.361
0.120 0.120 0.639
0.631 0.631 0.106
```

Results
Total energy (eV per formula unit): -34.67
Total magnetic moment (Bohr magnetons per cell): 0.87
Symmetry: R-3m, No. 166
V (Å³/atom): 23.3
Energy relative to the elements (kJ/mol of atoms): -65.7



VASP calculation (GGA-PBE) on a relaxed CeThCdAu crystal.

```
CeThCdAu
1.0
5.332 0.000 0.000
2.666 4.618 0.000
2.666 1.539 4.354
Au Ce Th Cd
1 1 1 1
direct
0.250 0.250 0.250
0.000 0.000 0.000
0.500 0.500 0.500
0.750 0.750 0.750
```

Results
Total energy (eV per formula unit): -18.67
Total magnetic moment (Bohr magnetons per cell): 1.86
Symmetry: F-43m, No. 216
V (Å³/atom): 26.8
Energy relative to the elements (kJ/mol of atoms): -27.0



VASP calculation (GGA-PBE) on a relaxed CeTmCdAu crystal.

```
CeTmCdAu
1.0
-4.486 1.915 1.885
-3.831 -3.254 1.442
-1.168 -0.582 5.063
Tm Au Ce Cd
1 1 1 1
direct
0.000 0.000 0.000
0.250 0.250 0.250
0.500 0.500 0.500
0.750 0.750 0.750
```

Results
Total energy (eV per formula unit): -16.33
Total magnetic moment (Bohr magnetons per cell): 0.81
Symmetry: F-43m, No. 216
V (Å³/atom): 25.3
Energy relative to the elements (kJ/mol of atoms): -41.7



VASP calculation (GGA-PBE) on a relaxed CeZn2CdAu5 crystal.

```
CeZn2CdAu5
1.0
-1.778 4.547 -0.325
-3.503 -1.586 -3.026
-4.667 -1.387 6.130
Ce Zn Cd Au
1 2 1 5
direct
0.000 0.000 0.500
0.500 0.500 0.155
0.500 0.500 0.845
0.000 0.000 0.000
0.000 0.500 0.254
0.500 0.000 0.254
0.000 0.500 0.746
0.500 0.000 0.746
0.500 0.500 0.500
```

Results
Total energy (eV per formula unit): -28.04
Total magnetic moment (Bohr magnetons per cell): 0.90
Symmetry: P4/mmm, No. 123
V (Å³/atom): 20.8
Energy relative to the elements (kJ/mol of atoms): -24.2